Record 1
# LiCd2Ru | the Alexandria database | PBE-GGA | relaxed
data_LiCd2Ru
_cell_length_a 2.9133
_cell_length_b 2.9133
_cell_length_c 28.5221
_cell_angle_alpha 90.00
_cell_angle_beta 90.00
_cell_angle_gamma 120.00
_symmetry_space_group_name_H-M 'R -3 m'
_symmetry_Int_Tables_number 166
_symmetry_space_group_name_Hall '-R 3 2"'
loop_
_atom_site_label
_atom_site_type_symbol
_atom_site_fract_x
_atom_site_fract_y
_atom_site_fract_z
Li1 Li 0.0000 0.0000 0.0000
Cd1 Cd 0.0000 0.0000 0.2492
Ru1 Ru 0.0000 0.0000 0.5000
# Formation energy from the elements   0.13 eV per atom
# Uncorrected energy   -3.124 eV per atom
# Density of states at the Fermi level   2.206 states/eV/f.u.



Record 2
# LiCdRu | the Alexandria database | PBE-GGA | relaxed
data_LiCdRu
_cell_length_a 2.6318
_cell_length_b 4.3508
_cell_length_c 8.3901
_cell_angle_alpha 90.00
_cell_angle_beta 90.00
_cell_angle_gamma 90.00
_symmetry_space_group_name_H-M 'I m m 2'
_symmetry_Int_Tables_number 44
loop_
_symmetry_equiv_pos_as_xyz
'x,y,z'
'-x,-y,z'
'-x,y,z'
'x,-y,z'
'x+1/2,y+1/2,z+1/2'
'-x+1/2,-y+1/2,z+1/2'
'-x+1/2,y+1/2,z+1/2'
'x+1/2,-y+1/2,z+1/2'
loop_
_atom_site_label
_atom_site_type_symbol
_atom_site_fract_x
_atom_site_fract_y
_atom_site_fract_z
Li1 Li 0.0000 0.0000 0.0000
Cd1 Cd 0.0000 0.0000 0.6707
Ru1 Ru 0.0000 0.0000 0.3350
# Formation energy from the elements   0.22 eV per atom
# Uncorrected energy   -3.819 eV per atom
# Density of states at the Fermi level   1.525 states/eV/f.u.
# E above lowest polymorph   0.1709 eV per atom



Record 3
# LiCd2Ru | the Alexandria database | PBE-GGA | relaxed
data_LiCd2Ru
_cell_length_a 2.7930
_cell_length_b 4.3511
_cell_length_c 5.7222
_cell_angle_alpha 90.00
_cell_angle_beta 90.00
_cell_angle_gamma 90.00
_symmetry_space_group_name_H-M 'P m m 2'
_symmetry_Int_Tables_number 25
loop_
_symmetry_equiv_pos_as_xyz
'x,y,z'
'-x,-y,z'
'-x,y,z'
'x,-y,z'
loop_
_atom_site_label
_atom_site_type_symbol
_atom_site_fract_x
_atom_site_fract_y
_atom_site_fract_z
Li1 Li 0.0000 0.0000 0.0000
Cd1 Cd 0.0000 0.0000 0.4573
Cd2 Cd 0.5000 0.5000 0.7537
Ru1 Ru 0.5000 0.5000 0.2375
# Formation energy from the elements   0.16 eV per atom
# Uncorrected energy   -3.094 eV per atom
# Density of states at the Fermi level   2.123 states/eV/f.u.



Record 4
# Li2CdRu | the Alexandria database | PBE-GGA | relaxed
data_Li2CdRu
_cell_length_a 2.6800
_cell_length_b 4.5652
_cell_length_c 5.1589
_cell_angle_alpha 90.00
_cell_angle_beta 94.90
_cell_angle_gamma 90.00
_symmetry_space_group_name_H-M 'P 1 2/m 1'
_symmetry_Int_Tables_number 10
loop_
_symmetry_equiv_pos_as_xyz
'x,y,z'
'-x,-y,-z'
'-x,y,-z'
'x,-y,z'
loop_
_atom_site_label
_atom_site_type_symbol
_atom_site_fract_x
_atom_site_fract_y
_atom_site_fract_z
Li1 Li 0.2430 0.0000 0.2164
Cd1 Cd 0.0000 0.5000 0.5000
Ru1 Ru 0.5000 0.5000 0.0000
# Formation energy from the elements   0.10 eV per atom
# Uncorrected energy   -3.407 eV per atom
# Density of states at the Fermi level   1.831 states/eV/f.u.



Record 5
# Li2CdRu | the Alexandria database | PBE-GGA | relaxed
data_Li2CdRu
_cell_length_a 2.8951
_cell_length_b 4.6299
_cell_length_c 4.7179
_cell_angle_alpha 90.00
_cell_angle_beta 90.00
_cell_angle_gamma 90.00
_symmetry_space_group_name_H-M 'P m m m'
_symmetry_Int_Tables_number 47
loop_
_symmetry_equiv_pos_as_xyz
'x,y,z'
'-x,-y,-z'
'-x,-y,z'
'x,y,-z'
'x,-y,-z'
'-x,y,z'
'-x,y,-z'
'x,-y,z'
loop_
_atom_site_label
_atom_site_type_symbol
_atom_site_fract_x
_atom_site_fract_y
_atom_site_fract_z
Li1 Li 0.0000 0.0000 0.0000
Li2 Li 0.5000 0.0000 0.5000
Cd1 Cd 0.0000 0.5000 0.5000
Ru1 Ru 0.5000 0.5000 0.0000
# Formation energy from the elements   0.13 eV per atom
# Uncorrected energy   -3.377 eV per atom
# Density of states at the Fermi level   1.456 states/eV/f.u.



Record 6
# LiCd3Ru | the Alexandria database | PBE-GGA | relaxed
data_LiCd3Ru
_cell_length_a 5.1846
_cell_length_b 5.1846
_cell_length_c 5.1846
_cell_angle_alpha 90.00
_cell_angle_beta 90.00
_cell_angle_gamma 90.00
_symmetry_space_group_name_H-M 'P m -3 m'
_symmetry_Int_Tables_number 221
_symmetry_space_group_name_Hall '-P 4 2 3'
loop_
_atom_site_label
_atom_site_type_symbol
_atom_site_fract_x
_atom_site_fract_y
_atom_site_fract_z
Li1 Li 0.0000 0.0000 0.0000
Cd1 Cd 0.0000 0.5000 0.5000
Ru1 Ru 0.5000 0.5000 0.5000
# Formation energy from the elements   0.39 eV per atom
# Uncorrected energy   -2.398 eV per atom
# Density of states at the Fermi level   1.878 states/eV/f.u.
# E above lowest polymorph   0.0000 eV per atom



Size of the total moment across the listed records, respectively: 0.57; 0.00; 0.00; 0.00; 0.31; 0.00 μB/f.u..